Arrangement one

VASP calculation (GGA-PBE) on a geometry-optimized CsRbZnHg2 structure.

The density of states at the Fermi level comes out at 1.80 states/eV/cell. For the size of the total moment, the calculation gives 0.00 μB per formula unit.

It has space group P4/mmm (No. 123), with a = 5.7310 Å, b = 5.7310 Å, c = 6.3866 Å, α = 90.00°, β = 90.00° and γ = 90.00°. The inequivalent atoms are Cs at (0.0000, 0.0000, 0.0000), Rb at (0.5000, 0.5000, 0.0000), Zn at (0.0000, 0.0000, 0.5000) and Hg at (0.0000, 0.5000, 0.5000).

Arrangement two

VASP calculation (GGA-PBE) on a geometry-optimized CsRbZnHg2 structure.

The density of states at the Fermi level comes out at 2.65 states/eV/cell. For the size of the total moment, the calculation gives 0.00 μB per formula unit.

It has space group P4/mmm (No. 123), with a = 5.7315 Å, b = 5.7315 Å, c = 6.3092 Å, α = 90.00°, β = 90.00° and γ = 90.00°. The inequivalent atoms are Cs at (0.0000, 0.0000, 0.0000), Rb at (0.5000, 0.5000, 0.0000), Zn at (0.5000, 0.5000, 0.5000) and Hg at (0.0000, 0.5000, 0.5000).

Bottom line: arrangement two, by a margin of 27 meV/atom.